Below is a relaxed structure of Th3CoCu, with properties calculated at the PBE-GGA level.

Lattice parameters (Å, degrees): 7.0487 7.0487 18.8204 90.00 90.00 120.00
With the nearest neighbours (Å) after each atom.
Space group R-3 (No. 148, hexagonal axes)
Unique sites:
Th  0.0047  0.3936  0.4131  2 Co 2.71-2.74, 1 Cu 2.87
Co  0.0000  0.0000  0.1661  6 Th 2.71-2.74
Cu  0.0000  0.0000  0.3712  6 Th 2.87-3.08

Results
- Volume: 809.8 Å³ per cell
- N(E_F): 1.248 states/eV per atom
- Total energy: -6.683 eV/atom
- Formation energy: 0.009 eV/atom